Density functional theory data (GGA-PBEsol) for an optimized crystal structure of Y2IrAu.

Summary:
Crystal system ... orthorhombic
DFT formation energy ... -3.3 eV/f.u.
Space-group type ... Amm2, No. 38

Cell and atoms, written as POSCAR:
```
Y2IrAu
1.0
-3.5184 0.0136 -1.1896
0.5837 -4.0674 -1.7729
0.2333 -2.1821 5.0829
Au Ir Y
1 1 2
direct
0.4582 0.5000 0.9165
0.2882 0.0000 0.5764
0.0165 0.0000 0.0330
0.7371 0.5000 0.4741
```

Density functional theory data (GGA-PBEsol) for an optimized crystal structure of CdPRh2.

Summary:
Excess energy over the best structure of this formula in the dataset ... 0 meV/atom
Crystal system ... monoclinic
DFT formation energy ... -1.2 eV/f.u.
Space-group type ... P2/m, No. 10

Cell and atoms, written as POSCAR:
```
CdPRh2
1.0
2.9658 0.0000 -0.0163
0.0000 3.4856 0.0000
-1.4894 0.0000 5.8121
P Rh Cd
1 2 1
direct
0.0000 0.5000 0.5000
0.1398 0.0000 0.2915
0.8602 0.0000 0.7085
0.5000 0.5000 0.0000
```

Density functional theory data (GGA-PBEsol) for an optimized crystal structure of BTeAs3.

Summary:
Crystal system ... cubic
Formation energy (no corrections) ... 1.993 eV per atom
Space-group type ... Pm-3m, No. 221

Cell and atoms, written as POSCAR:
```
BTeAs3
1.0
5.2406 0.0000 0.0000
0.0000 5.2406 0.0000
0.0000 0.0000 5.2406
As Te B
3 1 1
direct
0.5000 0.0000 0.0000
0.0000 0.0000 0.5000
0.0000 0.5000 0.0000
0.0000 0.0000 0.0000
0.5000 0.5000 0.5000
```

Density functional theory data (GGA-PBEsol) for an optimized crystal structure of Zn3CuBi.

Summary:
Excess energy over the best structure of this formula in the dataset ... 0 meV/atom
Crystal system ... cubic
DFT formation energy ... 1.5 eV/f.u.
Space-group type ... Pm-3m, No. 221

Cell and atoms, written as POSCAR:
```
Zn3CuBi
1.0
-3.5217 -2.7342 -1.0773
2.5828 -2.0774 -3.1705
1.4021 -3.0409 3.1346
Zn Cu Bi
3 1 1
direct
0.5000 0.0000 0.0000
0.0000 0.5000 0.0000
0.0000 0.0000 0.5000
0.0000 0.0000 0.0000
0.5000 0.5000 0.5000
```

Density functional theory data (GGA-PBEsol) for an optimized crystal structure of TaHgO2.

Summary:
Crystal system ... tetragonal
Formation energy (no corrections) ... -1.596 eV per atom
Space-group type ... I4_1/amd, No. 141

Cell and atoms, written as POSCAR:
```
TaHgO2
1.0
5.8786 0.0000 0.0000
-2.9393 5.5908 -0.0699
0.0000 3.1526 4.9617
O Ta Hg
4 2 2
direct
0.8750 0.2500 0.3750
0.3750 0.2500 0.3750
0.3750 0.7500 0.8750
0.3750 0.7500 0.3750
0.2500 0.5000 0.2500
0.5000 0.0000 0.5000
0.0000 0.0000 0.0000
0.7500 0.5000 0.7500
```

Density functional theory data (GGA-PBEsol) for an optimized crystal structure of AlCo2As.

Summary:
Excess energy over the best structure of this formula in the dataset ... 356 meV/atom
Crystal system ... trigonal
DFT formation energy ... 0.4 eV/f.u.
Space-group type ... R3m, No. 160

Cell and atoms, written as POSCAR:
```
AlCo2As
1.0
-0.6663 -2.1506 -1.6949
1.7065 -0.6945 -2.1325
4.1288 -5.7335 3.3091
Co As Al
2 1 1
direct
0.7478 0.7478 0.7565
0.0009 0.0009 0.9974
0.2589 0.2589 0.2233
0.4924 0.4924 0.5227
```

Density functional theory data (GGA-PBEsol) for an optimized crystal structure of Pr2CdCu2.

Summary:
Crystal system ... orthorhombic
DFT formation energy ... -1.0 eV/f.u.
Space-group type ... Immm, No. 71

Cell and atoms, written as POSCAR:
```
Pr2CdCu2
1.0
4.4479 0.0000 0.0000
2.2240 5.1092 0.0069
2.2240 1.6791 4.8255
Pr Cd Cu
2 1 2
direct
0.7933 0.7067 0.7067
0.2067 0.2933 0.2933
0.0000 0.0000 0.0000
0.5000 0.2908 0.7092
0.5000 0.7092 0.2908
```

Density functional theory data (GGA-PBEsol) for an optimized crystal structure of CaIn2Ni.

Summary:
Crystal system ... orthorhombic
DFT formation energy ... -1.6 eV/f.u.
Space-group type ... Cmcm, No. 63

Cell and atoms, written as POSCAR:
```
CaIn2Ni
1.0
-2.6362 -0.1519 3.3580
5.3096 -1.0239 1.4048
1.0981 7.3318 1.1937
Ca Ni In
2 2 4
direct
0.5611 0.1222 0.7500
0.4389 0.8778 0.2500
0.7184 0.4368 0.2500
0.2816 0.5632 0.7500
0.1496 0.2992 0.4473
0.8504 0.7008 0.9473
0.8504 0.7008 0.5527
0.1496 0.2992 0.0527
```

Density functional theory data (GGA-PBEsol) for an optimized crystal structure of CaYSi.

Summary:
Crystal system ... cubic
Formation energy (no corrections) ... 0.409 eV per atom
Space-group type ... F-43m, No. 216

Cell and atoms, written as POSCAR:
```
CaYSi
1.0
-0.4487 4.6881 -1.0851
-3.8420 1.5469 -2.4905
-3.3805 2.6736 2.1865
Si Ca Y
1 1 1
direct
0.0000 0.0000 0.0000
0.2500 0.2500 0.2500
0.5000 0.5000 0.5000
```

Density functional theory data (GGA-PBEsol) for an optimized crystal structure of NaCr3Cl.

Summary:
Crystal system ... cubic
Formation energy (no corrections) ... 1.965 eV per atom
Space-group type ... Pm-3m, No. 221

Cell and atoms, written as POSCAR:
```
NaCr3Cl
1.0
-1.3887 0.1504 4.9461
4.4173 -2.2778 1.3095
2.2304 4.6048 0.4862
Cl Cr Na
1 3 1
direct
0.5000 0.5000 0.5000
0.0000 0.0000 0.5000
0.5000 0.0000 0.0000
0.0000 0.5000 0.0000
0.0000 0.0000 0.0000
```

Density functional theory data (GGA-PBEsol) for an optimized crystal structure of CaSbOs2.

Summary:
Crystal system ... orthorhombic
Formation energy (no corrections) ... 0.630 eV per atom
Space-group type ... Immm, No. 71

Cell and atoms, written as POSCAR:
```
CaSbOs2
1.0
3.1392 0.0000 0.0000
0.0000 4.8979 0.0000
-1.5696 -2.4489 4.6660
Sb Os Ca
1 2 1
direct
0.0000 0.5000 0.0000
0.7266 0.7266 0.4532
0.2734 0.2734 0.5468
0.5000 0.0000 0.0000
```

Density functional theory data (GGA-PBEsol) for an optimized crystal structure of La3InGe.

Summary:
Crystal system ... orthorhombic
DFT formation energy ... -3.1 eV/f.u.
Space-group type ... Fmm2, No. 42

Cell and atoms, written as POSCAR:
```
La3InGe
1.0
-11.4602 0.7509 2.4241
3.4596 -7.7462 -8.1511
-0.8598 -11.4360 2.5012
In Ge La
8 8 24
direct
0.9986 0.5000 0.5014
0.1202 0.6516 0.8798
0.0278 0.0000 0.6203
0.9686 0.0000 0.3781
0.3797 0.0000 0.9722
0.4686 0.3484 0.5314
0.4986 0.5000 0.0014
0.6219 0.0000 0.0314
0.5197 0.6428 0.4803
0.2504 0.5000 0.2496
0.6220 0.0000 0.6156
0.3844 0.0000 0.3780
0.7504 0.5000 0.7496
0.1238 0.2462 0.8762
0.8769 0.3572 0.1231
0.8775 0.7538 0.1225
0.3336 0.7584 0.3035
0.8658 0.0000 0.1342
0.6539 0.0000 0.3461
0.0627 0.7630 0.5662
0.1667 0.0000 0.1655
0.7921 0.6314 0.4400
0.5600 0.6314 0.2079
0.2029 0.3753 0.5600
0.4400 0.3753 0.7971
0.6965 0.7584 0.6664
0.0647 0.6247 0.1724
0.1607 0.3686 0.0714
0.9381 0.2416 0.4248
0.8276 0.6247 0.9353
0.6709 0.2370 0.7003
0.5752 0.2416 0.0619
0.2997 0.2370 0.3291
0.9286 0.3686 0.8393
0.3575 0.0000 0.6425
0.6696 0.3346 0.3304
0.1404 0.0000 0.8596
0.4338 0.7630 0.9373
0.3350 0.6654 0.6650
0.8345 0.0000 0.8333
```

Density functional theory data (GGA-PBEsol) for an optimized crystal structure of Zr2ReCl.

Summary:
Excess energy over the best structure of this formula in the dataset ... 245 meV/atom
Crystal system ... orthorhombic
Formation energy (no corrections) ... -0.129 eV per atom
Space-group type ... Pmmm, No. 47

Cell and atoms, written as POSCAR:
```
Zr2ReCl
1.0
3.0948 0.0000 0.0000
0.0000 4.6090 0.0000
0.0000 0.0000 4.9834
Zr Cl Re
2 1 1
direct
0.0000 0.5000 0.5000
0.0000 0.0000 0.0000
0.5000 0.5000 0.0000
0.5000 0.0000 0.5000
```

Density functional theory data (GGA-PBEsol) for an optimized crystal structure of Mg3Br.

Summary:
Crystal system ... orthorhombic
Formation energy (no corrections) ... -0.140 eV per atom
Space-group type ... Cmcm, No. 63

Cell and atoms, written as POSCAR:
```
Mg3Br
1.0
5.8794 0.0000 0.0000
0.0000 6.4367 0.0000
0.0000 -3.2183 5.8594
Mg Br
6 2
direct
0.2500 0.9277 0.8554
0.7500 0.0326 0.6062
0.2500 0.4264 0.3938
0.7500 0.5736 0.6062
0.2500 0.9674 0.3938
0.7500 0.0723 0.1446
0.7500 0.4594 0.9188
0.2500 0.5406 0.0812
```

Density functional theory data (GGA-PBEsol) for an optimized crystal structure of CuTe2Pb.

Summary:
Crystal system ... monoclinic
Formation energy (no corrections) ... -0.099 eV per atom
Space-group type ... Cm, No. 8

Cell and atoms, written as POSCAR:
```
CuTe2Pb
1.0
-0.1799 1.5165 3.6677
-4.0354 -5.4466 2.0541
3.4325 -2.3550 -1.0097
Te Cu Pb
2 1 1
direct
0.0352 0.6885 0.0703
0.7337 0.2878 0.4674
0.3408 0.5213 0.6816
0.3903 0.0025 0.7806
```

Density functional theory data (GGA-PBEsol) for an optimized crystal structure of CsAuF4.

Summary:
Crystal system ... orthorhombic
Formation energy (no corrections) ... -1.779 eV per atom
Space-group type ... Immm, No. 71

Cell and atoms, written as POSCAR:
```
CsAuF4
1.0
-1.8158 -2.1117 -4.5700
-3.5360 -4.4118 3.4436
-2.1771 7.2264 0.6594
F Au Cs
8 2 2
direct
0.6549 0.6549 0.3097
0.3451 0.3451 0.6903
0.5000 0.7916 0.0000
0.8879 0.0893 0.7758
0.5000 0.2084 0.0000
0.8879 0.6865 0.7758
0.1121 0.3135 0.2242
0.1121 0.9107 0.2242
0.5000 0.5000 0.0000
0.0000 0.0000 0.0000
0.7172 0.2172 0.4345
0.2828 0.7828 0.5655
```

Density functional theory data (GGA-PBEsol) for an optimized crystal structure of MnAl4.

Summary:
Excess energy over the best structure of this formula in the dataset ... 0 meV/atom
Crystal system ... tetragonal
DFT formation energy ... -0.5 eV/f.u.
Space-group type ... I4/m, No. 87

Cell and atoms, written as POSCAR:
```
MnAl4
1.0
3.6280 0.0000 0.0000
1.8140 4.4097 0.0000
1.8140 0.0000 4.4097
Al Mn
4 1
direct
0.7919 0.6042 0.8119
0.2081 0.3958 0.1881
0.3961 0.8119 0.3958
0.6039 0.1881 0.6042
0.0000 0.0000 0.0000
```

Density functional theory data (GGA-PBEsol) for an optimized crystal structure of CoPRu.

Summary:
Crystal system ... trigonal
DFT formation energy ... -0.8 eV/f.u.
Space-group type ... P3m1, No. 156

Cell and atoms, written as POSCAR:
```
CoPRu
1.0
-0.3965 0.2395 -2.7426
3.7461 -0.3176 -0.5694
-2.1867 -3.1104 0.0446
P Co Ru
1 1 1
direct
0.7292 0.3333 0.6667
0.8785 0.0000 0.0000
0.3923 0.6667 0.3333
```

Density functional theory data (GGA-PBEsol) for an optimized crystal structure of CaMg2Pt.

Summary:
Crystal system ... cubic
DFT formation energy ... -1.6 eV/f.u.
Space-group type ... F-43m, No. 216

Cell and atoms, written as POSCAR:
```
CaMg2Pt
1.0
-1.1136 3.4878 3.1911
2.1467 -4.0872 1.5205
2.5015 3.2194 -2.6458
Ca Pt Mg
1 1 2
direct
0.2499 0.4999 0.7499
0.4996 0.9991 0.4996
0.7502 0.5005 0.2502
0.0003 0.0005 0.0003
```

Density functional theory data (GGA-PBEsol) for an optimized crystal structure of Mg3CuAs.

Summary:
Excess energy over the best structure of this formula in the dataset ... 0 meV/atom
Crystal system ... cubic
DFT formation energy ... 1.0 eV/f.u.
Space-group type ... Pm-3m, No. 221

Cell and atoms, written as POSCAR:
```
Mg3CuAs
1.0
4.7537 0.0000 0.0000
0.0000 4.7537 0.0000
0.0000 0.0000 4.7537
Mg Cu As
3 1 1
direct
0.0000 0.5000 0.0000
0.5000 0.0000 0.0000
0.0000 0.0000 0.5000
0.0000 0.0000 0.0000
0.5000 0.5000 0.5000
```